VASP calculation (GGA-PBE) on a relaxed structure of K2Pm2SiSe6.

DFT total energy, eV per atom: -4.71
Magnetic moment, μB per cell: 0.0
Crystal system: monoclinic
SG: C2/m

Geometry as POSCAR:
```
K2Pm2SiSe6
1.0
-5.161 4.563 1.757
-1.290 -4.971 -4.915
-0.186 -4.745 6.673
Se Si Pm K
6 1 2 2
Cartesian
-5.680 -0.375 0.542
-5.178 -3.574 2.103
-4.546 -3.167 -1.412
-1.459 -1.580 1.412
-2.090 -1.986 4.927
-0.957 -4.779 2.973
-0.093 -2.373 3.337
-3.970 -0.970 2.881
-2.666 -4.183 0.633
-1.963 -3.314 -3.755
-4.488 2.905 0.597
```


VASP calculation (GGA-PBE) on a relaxed structure of ZrPAu2.

DFT total energy, eV per atom: -5.54
Magnetic moment, μB per cell: 0.0
Crystal system: tetragonal
SG: P4mm
ΔE_f, eV/f.u.: -1.7

Geometry as POSCAR:
```
ZrPAu2
1.0
-1.583 -2.874 -1.405
2.490 -0.123 -2.554
3.420 -3.598 3.508
P Zr Au
1 1 2
Cartesian
1.980 -2.084 2.032
2.859 -4.029 0.488
1.178 -2.261 -1.237
0.020 -0.021 0.021
```


VASP calculation (GGA-PBE) on a relaxed structure of CaRuSe2.

DFT total energy, eV per atom: -5.00
Magnetic moment, μB per cell: 0.0
Crystal system: tetragonal
SG: P4mm

Geometry as POSCAR:
```
CaRuSe2
1.0
-1.007 -2.871 -1.021
1.127 -1.350 2.685
-7.779 1.329 3.934
Se Ca Ru
2 1 1
Cartesian
-7.025 1.200 3.553
-2.275 -1.712 2.013
-4.010 0.685 2.028
-6.017 -1.072 3.905
```


Which formula does entry 2 have?
ZrPAu2


Which value of magnetic moment does entry 1 give?
0.0 μB per cell


The highest DFT total energy belongs to which entry?
K2Pm2SiSe6


What is the magnetic moment in the third record?
0.0 μB per cell